The following is a PBE calculation of crystalline CsHI3 at its relaxed geometry, from the Alexandria database.

The structure belongs to space group P2_1 (No. 4); the cell edges are 8.0242, 7.2172 and 8.4670 Å and the angles 90.00°, 91.68° and 90.00°. The distinct sites, in fractional coordinates, are Cs at (0.2285, 0.0000, 0.4478), H at (0.4583, 0.1575, 0.9882), I at (0.1538, 0.5000, 0.2686), I at (0.2838, 0.4995, 0.6362) and I at (0.3364, 0.9743, 0.9698).


The following is a PBE calculation of crystalline SmTmIn at its relaxed geometry, from the Alexandria database.

The structure belongs to space group P6_3/mmc (No. 194); the cell edges are 5.4103, 5.4103 and 6.7558 Å and the angles 90.00°, 90.00° and 120.00°. The distinct sites, in fractional coordinates, are Sm at (0.0000, 0.0000, 0.0000), Tm at (0.3333, 0.6667, 0.2500) and In at (0.3333, 0.6667, 0.7500).

As for the formation energy: -342 meV/atom.


The following is a PBE calculation of crystalline TmTh2Sn at its relaxed geometry, from the Alexandria database.

The structure belongs to space group R-3m (No. 166, hexagonal axes); the cell edges are 3.4862, 3.4862 and 36.7572 Å and the angles 90.00°, 90.00° and 120.00°. The distinct sites, in fractional coordinates, are Tm at (0.0000, 0.0000, 0.0000), Th at (0.0000, 0.0000, 0.4123) and Sn at (0.0000, 0.0000, 0.5000).

As for the formation energy: 149 meV/atom.


The following is a PBE calculation of crystalline K2ZnAgPb at its relaxed geometry, from the Alexandria database.

The structure belongs to space group P4/mmm (No. 123); the cell edges are 6.8509, 6.8509 and 5.1403 Å and the angles 90.00°, 90.00° and 90.00°. The distinct sites, in fractional coordinates, are K at (0.0000, 0.5000, 0.0000), Zn at (0.0000, 0.0000, 0.5000), Ag at (0.5000, 0.5000, 0.5000) and Pb at (0.0000, 0.0000, 0.0000).

As for the formation energy: 338 meV/atom.


For reference, VASP energy by record: -2.2886, -4.3186, -5.6800, -1.6677 eV/atom.